Record 1
Crystalline Be3CoTe at its relaxed geometry. Source: Alexandria, functional GGA-PBE.

```
5
Lattice="-2.128 1.403 -3.214 2.071 -2.531 -2.476 -2.830 -2.907 0.605" Properties=species:S:1:pos:R:3 pbc="T T T"
Be -1.415 -1.454 0.302
Be 1.036 -1.265 -1.238
Be -1.064 0.701 -1.607
Co 0.000 0.000 0.000
Te -1.443 -2.018 -2.543
```

Calculated values
Relative energy among the computed polymorphs in eV/atom: 0.000
ΔE_f (raw) in eV per atom: 0.598
Crystal system: cubic

=====

Record 2
Crystalline MgN2Cl at its relaxed geometry. Source: Alexandria, functional GGA-PBE.

```
4
Lattice="1.401 5.037 2.755 3.694 4.598 0.370 0.700 5.854 -0.404" Properties=species:S:1:pos:R:3 pbc="T T T"
N 0.604 1.615 0.284
Mg 2.898 7.745 1.360
Cl 0.000 0.000 0.000
N 5.191 13.874 2.437
```

Calculated values
Relative energy among the computed polymorphs in eV/atom: 0.000
ΔE_f (raw) in eV per atom: 0.850
Crystal system: trigonal